DFT (PBE) results for a relaxed RbTaBRu2 crystal.

CIF file:
```
data_RbTaBRu2
_cell_length_a 4.712
_cell_length_b 4.242
_cell_length_c 4.712
_cell_angle_alpha 90.00
_cell_angle_beta 90.00
_cell_angle_gamma 90.00
_space_group_name_H-M_alt 'P 1'
_space_group_IT_number 1
loop_
_space_group_symop_operation_xyz
'x,y,z'
loop_
_atom_site_label
_atom_site_fract_x
_atom_site_fract_y
_atom_site_fract_z
Ru1 0.000 0.000 0.500
Ru2 0.500 0.000 0.000
B1 0.000 0.500 0.000
Rb1 0.000 0.000 0.000
Ta1 0.500 0.500 0.500
```

Results
SG	P4/mmm (123)
formation energy	16.27	eV/f.u.
crystal system	tetragonal
ΔE to the lowest computed polymorph	904.6	meV per atom


DFT (PBE) results for a relaxed GaTeI2O crystal.

CIF file:
```
data_GaTeI2O
_cell_length_a 5.951
_cell_length_b 5.951
_cell_length_c 3.633
_cell_angle_alpha 90.00
_cell_angle_beta 90.00
_cell_angle_gamma 90.00
_space_group_name_H-M_alt 'P 1'
_space_group_IT_number 1
loop_
_space_group_symop_operation_xyz
'x,y,z'
loop_
_atom_site_label
_atom_site_fract_x
_atom_site_fract_y
_atom_site_fract_z
I1 0.000 0.500 0.000
I2 0.500 0.000 0.000
Te1 0.500 0.500 0.500
O1 0.000 0.000 0.500
Ga1 0.000 0.000 0.000
```

Results
E_form (uncorrected)	-217	meV/atom
SG	P4/mmm (123)
crystal system	tetragonal
ΔE to the lowest computed polymorph	21.3	meV per atom


DFT (PBE) results for a relaxed Sc4SbTe2As crystal.

CIF file:
```
data_Sc4SbTe2As
_cell_length_a 4.075
_cell_length_b 7.097
_cell_length_c 7.145
_cell_angle_alpha 109.21
_cell_angle_beta 90.00
_cell_angle_gamma 90.00
_space_group_name_H-M_alt 'P 1'
_space_group_IT_number 1
loop_
_space_group_symop_operation_xyz
'x,y,z'
loop_
_atom_site_label
_atom_site_fract_x
_atom_site_fract_y
_atom_site_fract_z
Sc1 0.500 0.226 0.220
Sc2 0.500 0.774 0.780
Sc3 0.000 0.242 0.772
Sc4 0.000 0.758 0.228
Sb1 0.500 0.500 0.000
Te1 0.500 0.000 0.500
Te2 0.000 0.500 0.500
As1 0.000 0.000 0.000
```

Results
E_form (uncorrected)	-1174	meV/atom
SG	P2/m (10)
crystal system	monoclinic


DFT (PBE) results for a relaxed SrCu4Si crystal.

CIF file:
```
data_SrCu4Si
_cell_length_a 5.125
_cell_length_b 5.125
_cell_length_c 5.125
_cell_angle_alpha 60.00
_cell_angle_beta 60.00
_cell_angle_gamma 60.00
_space_group_name_H-M_alt 'P 1'
_space_group_IT_number 1
loop_
_space_group_symop_operation_xyz
'x,y,z'
loop_
_atom_site_label
_atom_site_fract_x
_atom_site_fract_y
_atom_site_fract_z
Sr1 0.000 0.000 0.000
Cu1 0.872 0.376 0.376
Cu2 0.376 0.376 0.872
Cu3 0.376 0.872 0.376
Cu4 0.376 0.376 0.376
Si1 0.750 0.750 0.750
```

Results
E_form (uncorrected)	24	meV/atom
SG	F-43m (216)
crystal system	cubic
ΔE to the lowest computed polymorph	198.1	meV per atom


DFT (PBE) results for a relaxed YMn2Fe crystal.

CIF file:
```
data_YMn2Fe
_cell_length_a 4.127
_cell_length_b 4.013
_cell_length_c 4.013
_cell_angle_alpha 90.00
_cell_angle_beta 90.00
_cell_angle_gamma 90.00
_space_group_name_H-M_alt 'P 1'
_space_group_IT_number 1
loop_
_space_group_symop_operation_xyz
'x,y,z'
loop_
_atom_site_label
_atom_site_fract_x
_atom_site_fract_y
_atom_site_fract_z
Fe1 0.500 0.000 0.500
Mn1 0.000 0.000 0.000
Mn2 0.000 0.500 0.500
Y1 0.500 0.500 0.000
```

Results
SG	P4/mmm (123)
formation energy	1.38	eV/f.u.
crystal system	tetragonal
ΔE to the lowest computed polymorph	174.9	meV per atom


DFT (PBE) results for a relaxed Pm2HfSc crystal.

CIF file:
```
data_Pm2HfSc
_cell_length_a 4.740
_cell_length_b 4.852
_cell_length_c 4.852
_cell_angle_alpha 90.00
_cell_angle_beta 90.00
_cell_angle_gamma 90.00
_space_group_name_H-M_alt 'P 1'
_space_group_IT_number 1
loop_
_space_group_symop_operation_xyz
'x,y,z'
loop_
_atom_site_label
_atom_site_fract_x
_atom_site_fract_y
_atom_site_fract_z
Sc1 0.500 0.000 0.000
Hf1 0.500 0.500 0.500
Pm1 0.000 0.000 0.500
Pm2 0.000 0.500 0.000
```

Results
SG	P4/mmm (123)
formation energy	0.65	eV/f.u.
crystal system	tetragonal
ΔE to the lowest computed polymorph	11.7	meV per atom


DFT (PBE) results for a relaxed Ba3ErIn2O8 crystal.

CIF file:
```
data_Ba3ErIn2O8
_cell_length_a 6.164
_cell_length_b 6.164
_cell_length_c 7.866
_cell_angle_alpha 90.00
_cell_angle_beta 90.00
_cell_angle_gamma 120.00
_space_group_name_H-M_alt 'P 1'
_space_group_IT_number 1
loop_
_space_group_symop_operation_xyz
'x,y,z'
loop_
_atom_site_label
_atom_site_fract_x
_atom_site_fract_y
_atom_site_fract_z
Ba1 0.333 0.667 0.634
Ba2 0.667 0.333 0.366
Ba3 0.000 0.000 0.000
Er1 0.000 0.000 0.500
In1 0.333 0.667 0.198
In2 0.667 0.333 0.802
O1 0.333 0.667 0.944
O2 0.667 0.333 0.056
O3 0.163 0.837 0.326
O4 0.837 0.163 0.674
O5 0.163 0.326 0.326
O6 0.837 0.674 0.674
O7 0.674 0.837 0.326
O8 0.326 0.163 0.674
```

Results
E_form (uncorrected)	-2203	meV/atom
SG	P-3m1 (164)
crystal system	trigonal


DFT (PBE) results for a relaxed ThBN crystal.

CIF file:
```
data_ThBN
_cell_length_a 3.832
_cell_length_b 3.832
_cell_length_c 4.209
_cell_angle_alpha 117.08
_cell_angle_beta 117.08
_cell_angle_gamma 90.00
_space_group_name_H-M_alt 'P 1'
_space_group_IT_number 1
loop_
_space_group_symop_operation_xyz
'x,y,z'
loop_
_atom_site_label
_atom_site_fract_x
_atom_site_fract_y
_atom_site_fract_z
B1 0.348 0.348 0.696
Th1 0.943 0.943 0.886
N1 0.559 0.559 0.118
```

Results
E_form (uncorrected)	-756	meV/atom
SG	I4mm (107)
crystal system	tetragonal
ΔE to the lowest computed polymorph	472.1	meV per atom


Summary of DFT total energy in eV per cell
-21.78; -15.31; -49.77; -23.34; -31.89; -25.13; -86.31; -24.69
(order as listed above)
Summary of total moment in μB/cell
0.0; 0.0; 0.0; 0.0; 8.7; 0.0; 1.1; 0.0
(order as listed above)
Summary of theoretical density in g cm⁻³
8.45; 6.03; 5.38; 6.45; 6.36; 7.64; 6.01; 9.02
(order as listed above)